The following is a GGA-PBE calculation of a relaxed Tm2HgGe2Rh5 crystal, from Alexandria.

```
Tm2HgGe2Rh5
1.0
9.7368 0.0000 0.0000
0.0000 9.7368 0.0000
0.0000 0.0000 3.6273
Tm Hg Ge Rh
4 2 4 10
Cartesian
1.6935 3.1748 0.0000
3.1748 8.0432 0.0000
6.5619 1.6935 0.0000
8.0432 6.5619 0.0000
0.0000 0.0000 0.0000
4.8684 4.8684 0.0000
1.2144 6.0828 0.0000
3.6540 1.2144 0.0000
6.0828 8.5223 0.0000
8.5223 3.6540 0.0000
0.0000 4.8684 1.8137
0.6739 7.6749 1.8137
2.0619 0.6739 1.8137
2.8065 5.5423 1.8137
4.1945 2.8065 1.8137
4.8684 0.0000 1.8137
5.5423 6.9303 1.8137
6.9303 4.1945 1.8137
7.6749 9.0629 1.8137
9.0629 2.0619 1.8137
```

Properties
Electronic total energy: -6.2710 eV per atom
Symmetry: No. 127

The following is a GGA-PBE calculation of a relaxed Y2HgGe2Rh5 crystal, from Alexandria.

```
Y2HgGe2Rh5
1.0
9.8186 0.0000 0.0000
0.0000 9.8186 0.0000
0.0000 0.0000 3.6352
Y Hg Ge Rh
4 2 4 10
Cartesian
1.7138 3.1955 0.0000
3.1955 8.1048 0.0000
6.6232 1.7138 0.0000
8.1048 6.6232 0.0000
0.0000 0.0000 0.0000
4.9093 4.9093 0.0000
1.2174 6.1267 0.0000
3.6919 1.2174 0.0000
6.1267 8.6012 0.0000
8.6012 3.6919 0.0000
0.0000 4.9093 1.8176
0.6718 7.7315 1.8176
2.0872 0.6718 1.8176
2.8222 5.5811 1.8176
4.2375 2.8222 1.8176
4.9093 0.0000 1.8176
5.5811 6.9965 1.8176
6.9965 4.2375 1.8176
7.7315 9.1469 1.8176
9.1469 2.0872 1.8176
```

Properties
Electronic total energy: -6.6466 eV per atom
Symmetry: No. 127

The following is a GGA-PBE calculation of a relaxed HgGeRu3 crystal, from Alexandria.

```
HgGeRu3
1.0
4.5677 0.0000 0.0000
0.0000 4.5677 0.0000
0.0000 0.0000 4.5677
Hg Ge Ru
1 1 3
Cartesian
0.0000 0.0000 0.0000
2.2839 2.2839 2.2839
0.0000 2.2839 2.2839
2.2839 0.0000 2.2839
2.2839 2.2839 0.0000
```

Properties
Electronic total energy: -5.5303 eV per atom
Polymorph energy (0 for the lowest one): 0 meV per atom
Symmetry: No. 221

The following is a GGA-PBE calculation of a relaxed HgGeRu crystal, from Alexandria.

```
HgGeRu
1.0
2.9385 0.0000 0.0000
0.0000 4.0493 0.0000
0.0000 0.0000 4.9417
Hg Ge Ru
1 1 1
Cartesian
0.0000 0.0000 0.0000
0.0000 2.0246 2.4709
1.4693 0.0000 2.4709
```

Properties
Electronic total energy: -4.6738 eV per atom
Polymorph energy (0 for the lowest one): 40 meV per atom
Symmetry: No. 47

Looking at total magnetization for the records above, in order, we have 0.00 0.00 3.21 0.00 μB/cell.